Computed, not measured: an optimized crystal structure of CoP2HS at the GGA-PBE level of DFT.

Unit cell a=4.1840 b=4.1840 c=4.7344 alpha=90.00 beta=90.00 gamma=90.00
Space group P4/mmm (No. 123)
Inequivalent atoms, fractional coordinates:
Co (0.0000, 0.0000, 0.0000) (multiplicity 1)
P (0.0000, 0.5000, 0.0000) (multiplicity 2)
H (0.5000, 0.5000, 0.5000) (multiplicity 1)
S (0.0000, 0.0000, 0.5000) (multiplicity 1)

Output
As for the total energy: -4.1396 eV per atom. Its energy above the most stable polymorph in this dataset is 158 meV/atom.

Computed, not measured: an optimized crystal structure of Co2SbPH at the GGA-PBE level of DFT.

Unit cell a=4.7428 b=4.7428 c=3.4993 alpha=90.00 beta=90.00 gamma=90.00
Space group P4/mmm (No. 123)
Inequivalent atoms, fractional coordinates:
Co (0.0000, 0.5000, 0.0000) (multiplicity 2)
Sb (0.0000, 0.0000, 0.0000) (multiplicity 1)
P (0.5000, 0.5000, 0.5000) (multiplicity 1)
H (0.0000, 0.0000, 0.5000) (multiplicity 1)

Output
As for the total energy: -4.4542 eV per atom.

Computed, not measured: an optimized crystal structure of ScCo2PH at the GGA-PBE level of DFT.

Unit cell a=3.4817 b=9.6316 c=6.5105 alpha=90.00 beta=90.00 gamma=90.00
Space group Cmcm (No. 63)
Inequivalent atoms, fractional coordinates:
Sc (0.0000, 0.0546, 0.2500) (multiplicity 4)
Co (0.0000, 0.3376, 0.0569) (multiplicity 8)
P (0.0000, 0.2265, 0.7500) (multiplicity 4)
H (0.0000, 0.5000, 0.0000) (multiplicity 4)

Output
As for the total energy: -6.6379 eV per atom.

Computed, not measured: an optimized crystal structure of ScCoPH at the GGA-PBE level of DFT.

Unit cell a=3.6325 b=3.6325 c=6.8011 alpha=90.00 beta=90.00 gamma=90.00
Space group P4/nmm (No. 129, origin choice 2)
Inequivalent atoms, fractional coordinates:
Sc (0.2500, 0.2500, 0.1581) (multiplicity 2)
Co (0.2500, 0.7500, 0.5000) (multiplicity 2)
P (0.2500, 0.2500, 0.6876) (multiplicity 2)
H (0.2500, 0.7500, 0.0000) (multiplicity 2)

Output
As for the total energy: -6.4553 eV per atom.

Computed, not measured: an optimized crystal structure of Co2PHSe at the GGA-PBE level of DFT.

Unit cell a=3.9786 b=3.9786 c=3.4759 alpha=90.00 beta=90.00 gamma=90.00
Space group P4/mmm (No. 123)
Inequivalent atoms, fractional coordinates:
Co (0.0000, 0.5000, 0.0000) (multiplicity 2)
P (0.0000, 0.0000, 0.5000) (multiplicity 1)
H (0.0000, 0.0000, 0.0000) (multiplicity 1)
Se (0.5000, 0.5000, 0.5000) (multiplicity 1)

Output
As for the total energy: -4.8152 eV per atom.

Computed, not measured: an optimized crystal structure of SmCo2PH at the GGA-PBE level of DFT.

Unit cell a=3.6333 b=10.2546 c=6.6395 alpha=90.00 beta=90.00 gamma=90.00
Space group Cmcm (No. 63)
Inequivalent atoms, fractional coordinates:
Sm (0.0000, 0.0555, 0.2500) (multiplicity 4)
Co (0.0000, 0.3300, 0.0606) (multiplicity 8)
P (0.0000, 0.2246, 0.7500) (multiplicity 4)
H (0.0000, 0.5000, 0.0000) (multiplicity 4)

Output
As for the total energy: -6.2538 eV per atom.

Computed, not measured: an optimized crystal structure of SmCoPH at the GGA-PBE level of DFT.

Unit cell a=3.7846 b=3.7846 c=7.7699 alpha=90.00 beta=90.00 gamma=90.00
Space group P4/nmm (No. 129, origin choice 2)
Inequivalent atoms, fractional coordinates:
Sm (0.2500, 0.2500, 0.1784) (multiplicity 2)
Co (0.2500, 0.7500, 0.5000) (multiplicity 2)
P (0.2500, 0.2500, 0.6538) (multiplicity 2)
H (0.2500, 0.7500, 0.0000) (multiplicity 2)

Output
As for the total energy: -6.1013 eV per atom.

Computed, not measured: an optimized crystal structure of TbCoPH at the GGA-PBE level of DFT.

Unit cell a=3.7693 b=3.7693 c=7.4472 alpha=90.00 beta=90.00 gamma=90.00
Space group P4/nmm (No. 129, origin choice 2)
Inequivalent atoms, fractional coordinates:
Tb (0.2500, 0.2500, 0.1746) (multiplicity 2)
Co (0.2500, 0.7500, 0.5000) (multiplicity 2)
P (0.2500, 0.2500, 0.6612) (multiplicity 2)
H (0.2500, 0.7500, 0.0000) (multiplicity 2)

Output
As for the total energy: -6.0990 eV per atom.

Computed, not measured: an optimized crystal structure of TbCoPH2 at the GGA-PBE level of DFT.

Unit cell a=3.6210 b=9.9578 c=6.0223 alpha=90.00 beta=90.00 gamma=90.00
Space group Cmcm (No. 63)
Inequivalent atoms, fractional coordinates:
Tb (0.0000, 0.2183, 0.2500) (multiplicity 4)
Co (0.0000, 0.5000, 0.0000) (multiplicity 4)
P (0.0000, 0.0583, 0.7500) (multiplicity 4)
H (0.0000, 0.3410, 0.5556) (multiplicity 8)

Output
As for the total energy: -5.4258 eV per atom.

Computed, not measured: an optimized crystal structure of CoTcP2H at the GGA-PBE level of DFT.

Unit cell a=4.0784 b=4.0784 c=5.0345 alpha=90.00 beta=90.00 gamma=90.00
Space group P4/mmm (No. 123)
Inequivalent atoms, fractional coordinates:
Co (0.0000, 0.0000, 0.0000) (multiplicity 1)
Tc (0.0000, 0.0000, 0.5000) (multiplicity 1)
P (0.0000, 0.5000, 0.0000) (multiplicity 2)
H (0.5000, 0.5000, 0.5000) (multiplicity 1)

Output
As for the total energy: -5.1991 eV per atom.

Computed, not measured: an optimized crystal structure of ThCoPH at the GGA-PBE level of DFT.

Unit cell a=3.9111 b=3.9111 c=7.5604 alpha=90.00 beta=90.00 gamma=90.00
Space group P4/nmm (No. 129, origin choice 2)
Inequivalent atoms, fractional coordinates:
Th (0.2500, 0.2500, 0.1921) (multiplicity 2)
Co (0.2500, 0.7500, 0.5000) (multiplicity 2)
P (0.2500, 0.2500, 0.6588) (multiplicity 2)
H (0.2500, 0.7500, 0.0000) (multiplicity 2)

Output
As for the total energy: -6.7611 eV per atom.

Computed, not measured: an optimized crystal structure of TmCoPH at the GGA-PBE level of DFT.

Unit cell a=3.7387 b=3.7387 c=7.1834 alpha=90.00 beta=90.00 gamma=90.00
Space group P4/nmm (No. 129, origin choice 2)
Inequivalent atoms, fractional coordinates:
Tm (0.2500, 0.2500, 0.1706) (multiplicity 2)
Co (0.2500, 0.7500, 0.5000) (multiplicity 2)
P (0.2500, 0.2500, 0.6693) (multiplicity 2)
H (0.2500, 0.7500, 0.0000) (multiplicity 2)

Output
As for the total energy: -6.0481 eV per atom.

Computed, not measured: an optimized crystal structure of YCo2PH at the GGA-PBE level of DFT.

Unit cell a=3.5902 b=10.0496 c=6.6232 alpha=90.00 beta=90.00 gamma=90.00
Space group Cmcm (No. 63)
Inequivalent atoms, fractional coordinates:
Y (0.0000, 0.0550, 0.2500) (multiplicity 4)
Co (0.0000, 0.3326, 0.0596) (multiplicity 8)
P (0.0000, 0.2254, 0.7500) (multiplicity 4)
H (0.0000, 0.5000, 0.0000) (multiplicity 4)

Output
As for the total energy: -6.6489 eV per atom.

Computed, not measured: an optimized crystal structure of Zr2CoPH at the GGA-PBE level of DFT.

Unit cell a=4.8365 b=4.8365 c=4.0379 alpha=90.00 beta=90.00 gamma=90.00
Space group P4/mmm (No. 123)
Inequivalent atoms, fractional coordinates:
Zr (0.0000, 0.5000, 0.0000) (multiplicity 2)
Co (0.0000, 0.0000, 0.0000) (multiplicity 1)
P (0.0000, 0.0000, 0.5000) (multiplicity 1)
H (0.5000, 0.5000, 0.5000) (multiplicity 1)

Output
As for the total energy: -6.2648 eV per atom.

Computed, not measured: an optimized crystal structure of Pa2Co2H3 at the GGA-PBE level of DFT.

Unit cell a=3.7671 b=14.9584 c=3.5330 alpha=90.00 beta=90.00 gamma=90.00
Space group Cmmm (No. 65)
Inequivalent atoms, fractional coordinates:
Pa (0.0000, 0.1460, 0.0000) (multiplicity 4)
Co (0.0000, 0.3120, 0.5000) (multiplicity 4)
H (0.0000, 0.0000, 0.0000) (multiplicity 2)
H (0.0000, 0.4167, 0.5000) (multiplicity 4)

Output
As for the total energy: -6.3874 eV per atom.

Computed, not measured: an optimized crystal structure of PaCo2H7 at the GGA-PBE level of DFT.

Unit cell a=4.6789 b=8.8621 c=3.3381 alpha=90.00 beta=90.00 gamma=90.00
Space group Cmmm (No. 65)
Inequivalent atoms, fractional coordinates:
Pa (0.0000, 0.0000, 0.0000) (multiplicity 2)
Co (0.0000, 0.3169, 0.5000) (multiplicity 4)
H (0.0000, 0.3310, 0.0000) (multiplicity 4)
H (0.0000, 0.5000, 0.5000) (multiplicity 2)
H (0.1695, 0.1463, 0.5000) (multiplicity 8)

Output
As for the total energy: -4.8506 eV per atom.

Computed, not measured: an optimized crystal structure of PaCo7H12 at the GGA-PBE level of DFT.

Unit cell a=7.1261 b=7.1261 c=9.3094 alpha=90.00 beta=90.00 gamma=120.00
Space group R-3 (No. 148, hexagonal axes)
Inequivalent atoms, fractional coordinates:
Pa (0.0000, 0.0000, 0.0000) (multiplicity 3)
Co (0.0000, 0.0000, 0.5000) (multiplicity 3)
Co (0.0544, 0.2437, 0.7120) (multiplicity 18)
H (0.0281, 0.3043, 0.8836) (multiplicity 18)
H (0.0385, 0.2040, 0.3905) (multiplicity 18)

Output
As for the total energy: -4.9358 eV per atom.

Computed, not measured: an optimized crystal structure of Pa2CoH8 at the GGA-PBE level of DFT.

Unit cell a=3.7574 b=4.5217 c=10.7443 alpha=90.00 beta=90.00 gamma=90.00
Space group Immm (No. 71)
Inequivalent atoms, fractional coordinates:
Pa (0.0000, 0.0000, 0.1654) (multiplicity 4)
Co (0.0000, 0.0000, 0.5000) (multiplicity 2)
H (0.0000, 0.2234, 0.3706) (multiplicity 8)
H (0.0000, 0.2825, 0.0000) (multiplicity 4)
H (0.0000, 0.5000, 0.2165) (multiplicity 4)

Output
As for the total energy: -4.9809 eV per atom.

Computed, not measured: an optimized crystal structure of PaCoH5 at the GGA-PBE level of DFT.

Unit cell a=3.8988 b=4.3329 c=6.2006 alpha=90.00 beta=90.00 gamma=90.00
Space group Immm (No. 71)
Inequivalent atoms, fractional coordinates:
Pa (0.0000, 0.0000, 0.0000) (multiplicity 2)
Co (0.0000, 0.0000, 0.5000) (multiplicity 2)
H (0.0000, 0.2759, 0.3304) (multiplicity 8)
H (0.0000, 0.5000, 0.0000) (multiplicity 2)

Output
As for the total energy: -5.0566 eV per atom.

Computed, not measured: an optimized crystal structure of PaCo3H6 at the GGA-PBE level of DFT.

Unit cell a=4.5342 b=4.5342 c=13.2536 alpha=90.00 beta=90.00 gamma=120.00
Space group R3 (No. 146, hexagonal axes)
Inequivalent atoms, fractional coordinates:
Pa (0.0000, 0.0000, 0.0000) (multiplicity 3)
Co (0.0000, 0.0000, 0.2105) (multiplicity 3)
Co (0.0000, 0.0000, 0.5532) (multiplicity 3)
Co (0.0000, 0.0000, 0.8225) (multiplicity 3)
H (0.0067, 0.5079, 0.9620) (multiplicity 9)
H (0.0397, 0.3518, 0.1408) (multiplicity 9)

Output
As for the total energy: -5.2701 eV per atom.

Computed, not measured: an optimized crystal structure of PaCo2H4 at the GGA-PBE level of DFT.

Unit cell a=3.9708 b=4.0236 c=4.1902 alpha=69.16 beta=76.99 gamma=72.51
Space group P-1 (No. 2)
Inequivalent atoms, fractional coordinates:
Pa (0.0000, 0.0000, 0.0000) (multiplicity 1)
Co (0.3416, 0.3649, 0.3433) (multiplicity 2)
H (0.1011, 0.6114, 0.6322) (multiplicity 2)
H (0.4466, 0.9662, 0.2908) (multiplicity 2)

Output
As for the total energy: -5.4776 eV per atom.

Computed, not measured: an optimized crystal structure of Pa2Co4H at the GGA-PBE level of DFT.

Unit cell a=3.7616 b=3.7616 c=14.1058 alpha=90.00 beta=90.00 gamma=90.00
Space group I4/mmm (No. 139)
Inequivalent atoms, fractional coordinates:
Pa (0.0000, 0.0000, 0.1190) (multiplicity 4)
Co (0.0000, 0.0000, 0.3844) (multiplicity 4)
Co (0.0000, 0.5000, 0.2500) (multiplicity 4)
H (0.0000, 0.0000, 0.5000) (multiplicity 2)

Output
As for the total energy: -7.4373 eV per atom. Its energy above the most stable polymorph in this dataset is 155 meV/atom.

Computed, not measured: an optimized crystal structure of PaCoH4 at the GGA-PBE level of DFT.

Unit cell a=3.9028 b=11.5151 c=4.3601 alpha=90.00 beta=90.00 gamma=90.00
Space group Cmcm (No. 63)
Inequivalent atoms, fractional coordinates:
Pa (0.0000, 0.1316, 0.2500) (multiplicity 4)
Co (0.0000, 0.3928, 0.2500) (multiplicity 4)
H (0.0000, 0.0753, 0.7500) (multiplicity 4)
H (0.0000, 0.3005, 0.5295) (multiplicity 8)
H (0.0000, 0.5000, 0.0000) (multiplicity 4)

Output
As for the total energy: -5.3037 eV per atom.

Computed, not measured: an optimized crystal structure of Pa2CoH6 at the GGA-PBE level of DFT.

Unit cell a=3.2098 b=5.1802 c=9.7071 alpha=90.00 beta=90.00 gamma=90.00
Space group Immm (No. 71)
Inequivalent atoms, fractional coordinates:
Pa (0.0000, 0.0000, 0.1429) (multiplicity 4)
Co (0.0000, 0.0000, 0.5000) (multiplicity 2)
H (0.0000, 0.1976, 0.3477) (multiplicity 8)
H (0.0000, 0.3445, 0.0000) (multiplicity 4)

Output
As for the total energy: -5.2561 eV per atom.